No. 1
Entry from the Alexandria database: a geometry-optimized TcPbNO2 structure (PBE).

The structure in CIF format:
```
data_TcPbNO2
_symmetry_space_group_name_H-M 'P 1'
_symmetry_Int_Tables_number 1
_symmetry_space_group_name_Hall 'P 1'
_cell_length_a 4.055
_cell_length_b 4.055
_cell_length_c 3.989
_cell_angle_alpha 90.00
_cell_angle_beta 90.00
_cell_angle_gamma 90.00
loop_
_atom_site_label
_atom_site_type_symbol
_atom_site_fract_x
_atom_site_fract_y
_atom_site_fract_z
Tc1 Tc 0.000 0.000 0.000
Pb1 Pb 0.500 0.500 0.500
N1 N 0.000 0.000 0.500
O1 O 0.000 0.500 0.000
O2 O 0.500 0.000 0.000
```

Computed properties:
The volume is 13.119 A^3/atom. For the total energy, the calculation gives -7.0821 eV/atom. The theoretical density comes out at 8.891 g cm⁻³. The energy relative to the elements, uncorrected is -0.62 eV/atom.

No. 2
Entry from the Alexandria database: a geometry-optimized Sm2DyO structure (PBE).

The structure in CIF format:
```
data_Sm2DyO
_symmetry_space_group_name_H-M 'P 1'
_symmetry_Int_Tables_number 1
_symmetry_space_group_name_Hall 'P 1'
_cell_length_a 9.520
_cell_length_b 9.520
_cell_length_c 9.520
_cell_angle_alpha 21.68
_cell_angle_beta 21.68
_cell_angle_gamma 21.68
loop_
_atom_site_label
_atom_site_type_symbol
_atom_site_fract_x
_atom_site_fract_y
_atom_site_fract_z
Sm1 Sm 0.119 0.119 0.119
Sm2 Sm 0.881 0.881 0.881
Dy1 Dy 0.000 0.000 0.000
O1 O 0.500 0.500 0.500
```

Computed properties:
The volume is 25.809 A^3/atom. For the total energy, the calculation gives -5.8962 eV/atom. The theoretical density comes out at 7.708 g cm⁻³. The energy relative to the elements, uncorrected is -1.15 eV/atom.

- Look up the energy relative to the elements, uncorrected of the first one.
  -0.62 eV/atom